1.
Material: CeSm3Hg2C
Method: DFT, GGA-PBE
State: optimized geometry

a = 4.917 Å, b = 5.068 Å, c = 15.240 Å
α = 90.00°, β = 90.00°, γ = 90.00°
Space group Immm (No. 71)
Inequivalent atoms, fractional coordinates:
Ce (0.000, 0.000, 0.000) x2
Sm (0.000, 0.000, 0.500) x2
Sm (0.000, 0.500, 0.331) x4
Hg (0.000, 0.500, 0.132) x4
C (0.000, 0.500, 0.500) x2

Results
M_tot = 0.00 μB per cell
DFT formation energy = -0.290 eV per atom
volume = 27.1 Å³/atom
crystal system = orthorhombic

2.
Material: CrCuTc2
Method: DFT, GGA-PBE
State: optimized geometry

a = 3.081 Å, b = 3.081 Å, c = 5.607 Å
α = 90.00°, β = 90.00°, γ = 90.00°
Space group P4/mmm (No. 123)
Inequivalent atoms, fractional coordinates:
Cr (0.000, 0.000, 0.000) x1
Cu (0.000, 0.000, 0.500) x1
Tc (0.500, 0.500, 0.240) x2

Results
M_tot = 0.00 μB per cell
DFT formation energy = 0.233 eV per atom
volume = 13.3 Å³/atom
distance to the lowest polymorph of the same formula = 38 meV/atom
crystal system = tetragonal

3.
Material: Pm5SmY2
Method: DFT, GGA-PBE
State: optimized geometry

a = 7.258 Å, b = 14.519 Å, c = 5.125 Å
α = 90.00°, β = 90.00°, γ = 90.00°
Space group Pbam (No. 55)
Inequivalent atoms, fractional coordinates:
Pm (0.000, 0.000, 0.000) x2
Pm (0.001, 0.250, 0.000) x4
Pm (0.250, 0.375, 0.500) x4
Sm (0.000, 0.500, 0.000) x2
Y (0.250, 0.125, 0.500) x4

Results
M_tot = 0.00 μB per cell
DFT formation energy = 0.014 eV per atom
volume = 33.8 Å³/atom
distance to the lowest polymorph of the same formula = 0 meV/atom
crystal system = orthorhombic

Copy entry 1 word for word.
Material: CeSm3Hg2C
Method: DFT, GGA-PBE
State: optimized geometry

a = 4.917 Å, b = 5.068 Å, c = 15.240 Å
α = 90.00°, β = 90.00°, γ = 90.00°
Space group Immm (No. 71)
Inequivalent atoms, fractional coordinates:
Ce (0.000, 0.000, 0.000) x2
Sm (0.000, 0.000, 0.500) x2
Sm (0.000, 0.500, 0.331) x4
Hg (0.000, 0.500, 0.132) x4
C (0.000, 0.500, 0.500) x2

Results
M_tot = 0.00 μB per cell
DFT formation energy = -0.290 eV per atom
volume = 27.1 Å³/atom
crystal system = orthorhombic

Repeat the third record exactly.
Material: Pm5SmY2
Method: DFT, GGA-PBE
State: optimized geometry

a = 7.258 Å, b = 14.519 Å, c = 5.125 Å
α = 90.00°, β = 90.00°, γ = 90.00°
Space group Pbam (No. 55)
Inequivalent atoms, fractional coordinates:
Pm (0.000, 0.000, 0.000) x2
Pm (0.001, 0.250, 0.000) x4
Pm (0.250, 0.375, 0.500) x4
Sm (0.000, 0.500, 0.000) x2
Y (0.250, 0.125, 0.500) x4

Results
M_tot = 0.00 μB per cell
DFT formation energy = 0.014 eV per atom
volume = 33.8 Å³/atom
distance to the lowest polymorph of the same formula = 0 meV/atom
crystal system = orthorhombic

Among the records above, which one has the highest volume?
Pm5SmY2